This record from Alexandria describes a relaxed structure of CaPtW2. The functional is PBE.

The distance to the lowest polymorph of the same formula is 0.000 eV per atom. The calculation puts the total magnetic moment at 0.000 μB/atom. For the formation enthalpy at 0 K, the calculation gives 0.1704 eV/atom. The calculated volume comes out at 76.3 Å³ per cell. Its total energy is -8.32 eV/atom.

CIF file:
```
data_CaPtW2
_space_group_name_H-M_alt 'P 1'
_space_group_IT_number 1
_space_group_name_Hall 'P 1'
_cell_length_a 3.230
_cell_length_b 2.880
_cell_length_c 8.490
_cell_angle_alpha 75.01
_cell_angle_beta 90.00
_cell_angle_gamma 90.00
loop_
_atom_site_label
_atom_site_type_symbol
_atom_site_fract_x
_atom_site_fract_y
_atom_site_fract_z
_atom_site_occupancy
Ca1 Ca 0.000 0.437 0.518 1
W1 W 0.000 0.084 0.995 1
W2 W 0.500 0.252 0.205 1
Pt1 Pt 0.500 0.728 0.783 1
```